# 1
This record from Alexandria via LeMat-Bulk describes crystalline AlIn3Cl at its relaxed geometry. The functional is PBE-GGA.

Output
Calculated total energy = -2.72 eV per atom
E_form (uncorrected) = 0.040 eV per atom
M_tot = 0.0 μB/f.u.

```
AlIn3Cl
1.0
5.432 0.000 0.000
0.000 5.432 0.000
0.000 0.000 5.432
In Al Cl
3 1 1
direct
0.500 0.000 0.000
0.000 0.500 0.000
0.000 0.000 0.500
0.000 0.000 0.000
0.500 0.500 0.500
```

=====

# 2
This record from Alexandria via LeMat-Bulk describes crystalline AlInCl2 at its relaxed geometry. The functional is PBE-GGA.

Output
Calculated total energy = -3.02 eV per atom
E_form (uncorrected) = -0.477 eV per atom
M_tot = 0.0 μB/f.u.

```
AlInCl2
1.0
-2.504 -4.205 2.031
4.386 -1.325 2.661
-1.129 2.060 2.933
In Cl Al
1 2 1
direct
0.500 0.000 0.500
0.000 0.000 0.000
0.500 0.500 0.000
0.000 0.500 0.500
```

=====

# 3
This record from Alexandria via LeMat-Bulk describes crystalline Al2In5Cl12 at its relaxed geometry. The functional is PBE-GGA.

Output
Calculated total energy = -3.34 eV per atom
E_form (uncorrected) = -1.060 eV per atom
M_tot = 0.8 μB/f.u.

```
Al2In5Cl12
1.0
7.287 0.000 0.000
-3.644 8.430 0.142
0.000 -2.816 9.575
In Cl Al
5 12 2
direct
0.696 0.392 0.828
0.000 0.000 0.500
0.304 0.608 0.172
0.298 0.596 0.628
0.702 0.404 0.372
0.391 0.276 0.066
0.588 0.677 0.436
0.501 0.003 0.836
0.998 0.997 0.162
0.002 0.003 0.838
0.089 0.677 0.436
0.412 0.323 0.564
0.609 0.724 0.934
0.911 0.323 0.564
0.885 0.276 0.066
0.499 0.997 0.164
0.115 0.724 0.934
0.752 0.000 0.000
0.248 0.000 0.000
```

=====

# 4
This record from Alexandria via LeMat-Bulk describes crystalline AlInCl2 at its relaxed geometry. The functional is PBE-GGA.

Output
Calculated total energy = -3.06 eV per atom
E_form (uncorrected) = -0.519 eV per atom
M_tot = 0.0 μB/f.u.

```
AlInCl2
1.0
-2.196 0.406 2.878
-1.450 -1.176 -3.128
1.703 -8.892 2.554
In Cl Al
1 2 1
direct
0.000 0.000 0.507
0.500 0.500 0.307
0.000 0.000 0.929
0.500 0.500 0.758
```

=====

# 5
This record from Alexandria via LeMat-Bulk describes crystalline AlIn2Cl6 at its relaxed geometry. The functional is PBE-GGA.

Output
Calculated total energy = -3.31 eV per atom
E_form (uncorrected) = -1.058 eV per atom
M_tot = 0.0 μB/f.u.

```
AlIn2Cl6
1.0
-6.122 2.234 -0.906
-3.866 -2.382 5.147
-1.422 4.314 5.145
In Al Cl
2 1 6
direct
0.103 0.288 0.288
0.897 0.712 0.712
0.000 0.000 0.000
0.202 0.287 0.824
0.749 0.197 0.197
0.251 0.803 0.803
0.202 0.824 0.287
0.798 0.713 0.176
0.798 0.176 0.713
```

=====

# 6
This record from Alexandria via LeMat-Bulk describes crystalline Al2InCl2 at its relaxed geometry. The functional is PBE-GGA.

Output
Calculated total energy = -3.06 eV per atom
E_form (uncorrected) = -0.276 eV per atom
M_tot = 0.0 μB/f.u.

```
Al2InCl2
1.0
7.924 0.000 0.000
0.000 7.924 0.000
0.000 0.000 4.583
In Cl Al
2 4 4
direct
0.500 0.500 0.000
0.000 0.000 0.000
0.339 0.161 0.500
0.661 0.839 0.500
0.161 0.661 0.500
0.839 0.339 0.500
0.748 0.248 0.000
0.752 0.748 0.000
0.248 0.252 0.000
0.252 0.752 0.000
```

=====

# 7
This record from Alexandria via LeMat-Bulk describes crystalline AlIn2Cl8 at its relaxed geometry. The functional is PBE-GGA.

Output
Calculated total energy = -3.25 eV per atom
E_form (uncorrected) = -1.066 eV per atom
M_tot = 0.3 μB/f.u.

```
AlIn2Cl8
1.0
6.927 -0.041 -0.034
-0.087 7.343 1.507
-0.087 2.824 6.944
Cl In Al
8 2 1
direct
0.204 0.301 0.826
0.796 0.174 0.699
0.597 0.696 0.696
0.204 0.826 0.301
0.168 0.847 0.847
0.832 0.153 0.153
0.796 0.699 0.174
0.403 0.304 0.304
0.464 0.127 0.127
0.536 0.873 0.873
0.000 0.000 0.000
```

=====

# 8
This record from Alexandria via LeMat-Bulk describes crystalline AlInCl2 at its relaxed geometry. The functional is PBE-GGA.

Output
Calculated total energy = -3.07 eV per atom
E_form (uncorrected) = -0.526 eV per atom
M_tot = 0.0 μB/f.u.

```
AlInCl2
1.0
-0.370 3.810 0.997
-2.203 0.414 -2.399
-5.664 -1.828 4.882
Cl Al In
2 1 1
direct
0.000 0.748 0.986
0.000 0.752 0.514
0.500 0.750 0.750
0.500 0.250 0.250
```

=====

# 9
This record from Alexandria via LeMat-Bulk describes crystalline AlInCl2 at its relaxed geometry. The functional is PBE-GGA.

Output
Calculated total energy = -3.06 eV per atom
E_form (uncorrected) = -0.515 eV per atom
M_tot = 0.0 μB/f.u.

```
AlInCl2
1.0
3.563 0.000 0.000
0.000 3.563 0.000
0.000 0.000 8.720
In Al Cl
1 1 2
direct
0.000 0.000 0.481
0.500 0.500 0.786
0.500 0.500 0.306
0.000 0.000 0.927
```

=====

# 10
This record from Alexandria via LeMat-Bulk describes crystalline KAl2InCl8 at its relaxed geometry. The functional is PBE-GGA.

Output
Calculated total energy = -3.72 eV per atom
E_form (uncorrected) = -1.549 eV per atom
M_tot = 0.0 μB/f.u.

```
KAl2InCl8
1.0
6.860 0.000 0.000
3.430 5.941 0.000
3.430 1.980 9.363
Cl Al K In
8 2 1 1
direct
0.836 0.836 0.493
0.474 0.669 0.799
0.058 0.474 0.799
0.526 0.331 0.201
0.331 0.942 0.201
0.669 0.058 0.799
0.164 0.164 0.507
0.942 0.526 0.201
0.241 0.241 0.278
0.759 0.759 0.722
0.500 0.500 0.500
0.000 0.000 0.000
```

=====

# 11
This record from Alexandria via LeMat-Bulk describes crystalline K2AlInCl at its relaxed geometry. The functional is PBE-GGA.

Output
Calculated total energy = -2.04 eV per atom
E_form (uncorrected) = 0.063 eV per atom
M_tot = 0.0 μB/f.u.

```
K2AlInCl
1.0
6.856 0.000 0.000
0.000 5.066 0.000
0.000 0.000 6.856
In K Al Cl
1 2 1 1
direct
0.500 0.500 0.500
0.500 0.000 0.000
0.000 0.000 0.500
0.000 0.000 0.000
0.000 0.500 0.000
```

=====

# 12
This record from Alexandria via LeMat-Bulk describes crystalline LiAlIn2Cl6 at its relaxed geometry. The functional is PBE-GGA.

Output
Calculated total energy = -3.49 eV per atom
E_form (uncorrected) = -1.273 eV per atom
M_tot = 0.0 μB/f.u.

```
LiAlIn2Cl6
1.0
6.981 0.000 0.000
0.000 6.983 0.000
0.000 0.000 9.877
Cl Al In Li
12 2 4 2
direct
0.500 0.250 0.262
0.000 0.750 0.762
0.238 0.988 0.000
0.738 0.012 0.500
0.000 0.750 0.238
0.262 0.012 0.500
0.238 0.513 0.000
0.738 0.487 0.500
0.762 0.513 0.000
0.762 0.988 0.000
0.262 0.487 0.500
0.500 0.250 0.738
0.500 0.250 0.500
0.000 0.750 0.000
0.500 0.750 0.751
0.500 0.750 0.249
0.000 0.250 0.251
0.000 0.250 0.749
0.000 0.749 0.500
0.500 0.251 0.000
```